1.
PBE CrNi2Ir2, relaxed; magnetic moment = 0.0000 μB per atom; space-group type = P4/mbm (127); N(E_F) = 14.475 states/eV per cell; offset from the most stable computed form = 420.3 meV per atom; formation energy from the elements = 0.3420 eV per atom
1.0
6.920 0.000 0.000
0.000 6.920 0.000
0.000 0.000 2.793
Cr Ni Ir
2 4 4
Direct
0.000 0.000 0.000 Cr
0.500 0.500 0.000 Cr
0.167 0.333 0.500 Ni
0.333 0.833 0.500 Ni
0.667 0.167 0.500 Ni
0.833 0.667 0.500 Ni
0.132 0.632 0.000 Ir
0.368 0.132 0.000 Ir
0.632 0.868 0.000 Ir
0.868 0.368 0.000 Ir


2.
PBE Ti4As2H, relaxed; magnetic moment = 0.0000 μB per atom; space-group type = I4/mmm (139); N(E_F) = 7.637 states/eV per cell; offset from the most stable computed form = 0.0 meV per atom
1.0
3.771 0.000 0.000
0.000 3.771 0.000
0.000 0.000 13.846
Ti As H
8 4 2
Direct
0.000 0.000 0.174 Ti
0.000 0.000 0.826 Ti
0.000 0.500 0.000 Ti
0.000 0.500 0.500 Ti
0.500 0.000 0.000 Ti
0.500 0.000 0.500 Ti
0.500 0.500 0.326 Ti
0.500 0.500 0.674 Ti
0.000 0.000 0.361 As
0.000 0.000 0.639 As
0.500 0.500 0.139 As
0.500 0.500 0.861 As
0.000 0.000 0.000 H
0.500 0.500 0.500 H


3.
PBE Sm5Ag2Ru2, relaxed; magnetic moment = 0.0000 μB per atom; space-group type = Ima2 (46); N(E_F) = 12.350 states/eV per cell; offset from the most stable computed form = 58.2 meV per atom; formation energy from the elements = -0.1969 eV per atom
1.0
-9.576 3.234 3.700
9.576 -3.234 3.700
9.576 3.234 -3.700
Sm Ag Ru
10 4 4
Direct
0.160 0.077 0.237 Sm
0.160 0.423 0.582 Sm
0.200 0.520 0.005 Sm
0.200 0.696 0.180 Sm
0.515 0.020 0.820 Sm
0.515 0.196 0.995 Sm
0.582 0.475 0.607 Sm
0.840 0.577 0.418 Sm
0.840 0.923 0.763 Sm
0.869 0.975 0.393 Sm
0.529 0.093 0.321 Ag
0.529 0.709 0.936 Ag
0.772 0.209 0.679 Ag
0.772 0.593 0.064 Ag
0.029 0.311 0.218 Ru
0.093 0.811 0.782 Ru
0.287 0.287 0.000 Ru
0.287 0.787 0.500 Ru


4.
PBE Nd3SmCu3, relaxed; magnetic moment = 0.0000 μB per atom; space-group type = C2/m (12); N(E_F) = 12.189 states/eV per cell; formation energy from the elements = -0.0572 eV per atom
1.0
4.814 -5.301 0.000
4.814 5.301 0.000
-0.125 0.000 7.026
Nd Sm Cu
6 2 6
Direct
0.174 0.826 0.000 Nd
0.261 0.739 0.500 Nd
0.347 0.347 0.126 Nd
0.653 0.653 0.874 Nd
0.739 0.261 0.500 Nd
0.826 0.174 0.000 Nd
0.254 0.254 0.631 Sm
0.746 0.746 0.369 Sm
0.017 0.505 0.795 Cu
0.059 0.059 0.328 Cu
0.495 0.983 0.205 Cu
0.505 0.017 0.795 Cu
0.941 0.941 0.672 Cu
0.983 0.495 0.205 Cu


5.
PBE Dy3TmIr2, relaxed; magnetic moment = 0.0000 μB per atom; space-group type = Ibam (72); N(E_F) = 9.834 states/eV per cell; offset from the most stable computed form = 0.0 meV per atom; formation energy from the elements = -0.6593 eV per atom
1.0
-3.365 6.763 3.523
3.365 -6.763 3.523
3.365 6.763 -3.523
Dy Tm Ir
6 2 4
Direct
0.016 0.750 0.266 Dy
0.250 0.250 0.000 Dy
0.484 0.750 0.734 Dy
0.516 0.250 0.266 Dy
0.750 0.750 0.000 Dy
0.984 0.250 0.734 Dy
0.000 0.500 0.500 Tm
0.500 0.000 0.500 Tm
0.138 0.214 0.352 Ir
0.362 0.714 0.077 Ir
0.638 0.286 0.923 Ir
0.862 0.786 0.648 Ir


6.
PBE BeSiPt3, relaxed; magnetic moment = 0.0000 μB per atom; space-group type = Pm-3m (221); formation energy from raw total energies = 0.143 eV per atom; N(E_F) = 8.084 states/eV per cell; offset from the most stable computed form = 0.0 meV per atom
1.0
4.249 0.000 0.000
0.000 4.249 0.000
0.000 0.000 4.249
Be Si Pt
1 1 3
Direct
0.000 0.000 0.000 Be
0.500 0.500 0.500 Si
0.000 0.000 0.500 Pt
0.000 0.500 0.000 Pt
0.500 0.000 0.000 Pt


Please write out number 4 again, unchanged.
PBE Nd3SmCu3, relaxed; magnetic moment = 0.0000 μB per atom; space-group type = C2/m (12); N(E_F) = 12.189 states/eV per cell; formation energy from the elements = -0.0572 eV per atom
1.0
4.814 -5.301 0.000
4.814 5.301 0.000
-0.125 0.000 7.026
Nd Sm Cu
6 2 6
Direct
0.174 0.826 0.000 Nd
0.261 0.739 0.500 Nd
0.347 0.347 0.126 Nd
0.653 0.653 0.874 Nd
0.739 0.261 0.500 Nd
0.826 0.174 0.000 Nd
0.254 0.254 0.631 Sm
0.746 0.746 0.369 Sm
0.017 0.505 0.795 Cu
0.059 0.059 0.328 Cu
0.495 0.983 0.205 Cu
0.505 0.017 0.795 Cu
0.941 0.941 0.672 Cu
0.983 0.495 0.205 Cu


Q: Among the records above, which one has the highest N(E_F)?
A: CrNi2Ir2